Record 1
The following is a PBE calculation of an optimized crystal structure of LuThZn, from the Open Quantum Materials Database.

Computed properties:
* energy relative to the elements: 0.129 eV/atom
* E_tot: -0.3139 Ry per atom
* total moment: 0.57 μB/f.u.

Cell: 4.9325 4.9325 4.9325 Å, 60.00 60.00 60.00°
Site moments in Bohr magnetons follow the coordinates.
Positions (direct):
Lu  0.5000  0.5000  0.5000  0.15
Th  0.0000  0.0000  0.0000  0.15
Zn  0.2500  0.2500  0.2500  0.02

---

Record 2
The following is a PBE calculation of an optimized crystal structure of Lu3Tl5, from the Open Quantum Materials Database.

Computed properties:
* E_tot: -0.2468 Ry per atom
* total moment: 0.01 μB/f.u.

Cell: 6.3702 6.3702 10.4024 Å, 90.00 90.00 78.08°
Positions (direct):
Lu  0.9006  0.0994  0.2500
Lu  0.7069  0.7069  0.0000
Lu  0.2931  0.2931  0.5000
Lu  0.7069  0.7069  0.5000
Lu  0.0994  0.9006  0.7500
Lu  0.2931  0.2931  0.0000
Tl  0.7997  0.2003  0.5326
Tl  0.4985  0.5015  0.2500
Tl  0.5645  0.9841  0.7500
Tl  0.9841  0.5645  0.2500
Tl  0.5015  0.4985  0.7500
Tl  0.2003  0.7997  0.0326
Tl  0.0159  0.4355  0.7500
Tl  0.7997  0.2003  0.9674
Tl  0.2003  0.7997  0.4674
Tl  0.4355  0.0159  0.2500

---

Record 3
The following is a PBE calculation of an optimized crystal structure of Lu3Tl, from the Open Quantum Materials Database.

Computed properties:
* E_tot: -0.2967 Ry per atom
* total moment: 0.02 μB/f.u.

Cell: 8.1043 9.2904 6.1689 Å, 90.00 90.00 90.00°
Positions (direct):
Lu  0.8170  0.4456  0.8677
Lu  0.1830  0.5544  0.1323
Lu  0.3170  0.0544  0.6323
Lu  0.5275  0.7500  0.8903
Lu  0.9725  0.2500  0.3903
Lu  0.1830  0.9456  0.1323
Lu  0.0275  0.7500  0.6097
Lu  0.6830  0.5544  0.3677
Lu  0.3170  0.4456  0.6323
Lu  0.6830  0.9456  0.3677
Lu  0.8170  0.0544  0.8677
Lu  0.4725  0.2500  0.1097
Tl  0.3825  0.7500  0.4245
Tl  0.8825  0.7500  0.0755
Tl  0.1175  0.2500  0.9245
Tl  0.6175  0.2500  0.5755

---

Record 4
The following is a PBE calculation of an optimized crystal structure of LuUTl, from the Open Quantum Materials Database.

Computed properties:
* E_tot: -0.3926 Ry per atom
* total moment: 4.02 μB/f.u.

Cell: 5.1405 5.1405 5.1405 Å, 60.00 60.00 60.00°
Positions (direct):
Lu  0.2500  0.2500  0.2500
U  0.7500  0.7500  0.7500
Tl  0.0000  0.0000  0.0000